## Tm3Mg2Hg6 (PBE)

Data for crystalline Tm3Mg2Hg6 at its relaxed geometry.

Cell lengths 5.047, 5.047, 12.846 Å; angles 101.33, 101.33, 90.00 degrees
Sites, in units of the cell vectors:
Hg (0.569, 0.069, 0.137)
Mg (0.379, 0.379, 0.757)
Hg (0.069, 0.569, 0.137)
Mg (0.621, 0.621, 0.243)
Hg (0.736, 0.736, 0.473)
Hg (0.431, 0.931, 0.863)
Hg (0.931, 0.431, 0.863)
Tm (0.859, 0.859, 0.717)
Tm (0.000, 0.000, 0.000)
Hg (0.264, 0.264, 0.527)
Tm (0.141, 0.141, 0.283)

Values from the calculation:
Space group: I4/mmm
Volume: 314.3 Å³/f.u.
Total energy: -19.64 eV per cell
Size of the total moment: 0.000 μB per atom
E_form: -0.11 eV/atom



## Ac12HoSn6 (PBE)

Data for crystalline Ac12HoSn6 at its relaxed geometry.

Cell lengths 9.881, 9.881, 9.881 Å; angles 107.74, 107.74, 107.74 degrees
Sites, in units of the cell vectors:
Ac (0.541, 0.885, 0.641)
Sn (0.336, 0.191, 0.641)
Ac (0.885, 0.641, 0.541)
Ac (0.682, 0.987, 0.123)
Sn (0.359, 0.664, 0.809)
Ac (0.877, 0.318, 0.013)
Ac (0.115, 0.359, 0.459)
Ac (0.359, 0.459, 0.115)
Sn (0.191, 0.641, 0.336)
Ac (0.123, 0.682, 0.987)
Sn (0.641, 0.336, 0.191)
Ac (0.641, 0.541, 0.885)
Ho (0.000, 0.000, 0.000)
Sn (0.809, 0.359, 0.664)
Ac (0.987, 0.123, 0.682)
Ac (0.318, 0.013, 0.877)
Ac (0.459, 0.115, 0.359)
Sn (0.664, 0.809, 0.359)
Ac (0.013, 0.877, 0.318)

Values from the calculation:
Space group: R-3
Volume: 786.7 Å³/f.u.
Total energy: -82.54 eV per cell
Size of the total moment: 0.000 μB per atom
E_form: -0.24 eV/atom



## Cs2AgGePt (PBE)

Data for crystalline Cs2AgGePt at its relaxed geometry.

Cell lengths 6.885, 6.885, 4.699 Å; angles 90.00, 90.00, 90.00 degrees
Sites, in units of the cell vectors:
Ag (0.500, 0.500, 0.500)
Cs (0.500, 0.000, 0.000)
Cs (0.000, 0.500, 0.000)
Pt (0.000, 0.000, 0.000)
Ge (0.000, 0.000, 0.500)

Values from the calculation:
Space group: P4/mmm
Volume: 222.7 Å³/f.u.
Total energy: -15.14 eV per cell
Size of the total moment: 0.000 μB per atom
E_form: 0.02 eV/atom



## AcGaSeO2 (PBE)

Data for crystalline AcGaSeO2 at its relaxed geometry.

Cell lengths 4.347, 6.794, 7.234 Å; angles 98.05, 90.00, 90.00 degrees
Sites, in units of the cell vectors:
Ga (0.750, 0.084, 0.142)
Ac (0.750, 0.229, 0.642)
O (0.750, 0.951, 0.358)
Ac (0.250, 0.771, 0.358)
O (0.750, 0.997, 0.886)
Ga (0.250, 0.916, 0.858)
O (0.250, 0.049, 0.642)
Se (0.750, 0.429, 0.253)
O (0.250, 0.003, 0.114)
Se (0.250, 0.571, 0.747)

Values from the calculation:
Space group: P2_1/m
E_form (uncorrected): -2.20 eV per atom
Volume: 105.8 Å³/f.u.
Total energy: -63.12 eV per cell
Size of the total moment: 0.000 μB per atom



## La12Tm3Mg (PBE)

Data for crystalline La12Tm3Mg at its relaxed geometry.

Cell lengths 5.171, 5.171, 20.774 Å; angles 90.00, 90.00, 90.00 degrees
Sites, in units of the cell vectors:
La (0.500, 0.000, 0.876)
La (0.500, 0.500, 0.249)
Tm (0.000, 0.000, 0.249)
La (0.500, 0.000, 0.626)
La (0.000, 0.500, 0.374)
La (0.500, 0.500, 0.000)
La (0.500, 0.500, 0.751)
La (0.500, 0.500, 0.500)
Mg (0.000, 0.000, 0.000)
Tm (0.000, 0.000, 0.500)
La (0.000, 0.500, 0.876)
Tm (0.000, 0.000, 0.751)
La (0.500, 0.000, 0.374)
La (0.000, 0.500, 0.124)
La (0.500, 0.000, 0.124)
La (0.000, 0.500, 0.626)

Values from the calculation:
Space group: P4/mmm
Volume: 555.5 Å³/f.u.
Total energy: -74.14 eV per cell
Size of the total moment: 0.000 μB per atom
E_form: 0.00 eV/atom



## Rb3U3BeTe8 (PBE)

Data for crystalline Rb3U3BeTe8 at its relaxed geometry.

Cell lengths 8.802, 8.803, 10.135 Å; angles 115.74, 90.00, 120.00 degrees
Sites, in units of the cell vectors:
Rb (0.000, 0.500, 0.000)
Te (0.215, 0.967, 0.682)
U (0.500, 0.000, 0.500)
Te (0.785, 0.569, 0.318)
Be (0.000, 0.000, 0.500)
U (0.000, 0.500, 0.500)
Te (0.751, 0.967, 0.682)
Te (0.249, 0.033, 0.318)
Rb (0.000, 0.000, 0.000)
Rb (0.500, 0.500, 0.000)
Te (0.215, 0.431, 0.682)
Te (0.785, 0.033, 0.318)
Te (0.266, 0.531, 0.296)
U (0.500, 0.500, 0.500)
Te (0.734, 0.469, 0.704)

Values from the calculation:
Space group: R-3m
E_form (uncorrected): -0.66 eV per atom
Volume: 588.4 Å³/f.u.
Total energy: -75.50 eV per cell
Size of the total moment: 0.467 μB per atom



## Hf2TiAs2 (PBE)

Data for crystalline Hf2TiAs2 at its relaxed geometry.

Cell lengths 7.005, 7.005, 3.676 Å; angles 90.00, 90.00, 90.00 degrees
Sites, in units of the cell vectors:
Hf (0.341, 0.159, 0.500)
Ti (0.000, 0.000, 0.000)
As (0.355, 0.855, 0.000)
As (0.145, 0.355, 0.000)
As (0.855, 0.645, 0.000)
Ti (0.500, 0.500, 0.000)
Hf (0.841, 0.341, 0.500)
As (0.645, 0.145, 0.000)
Hf (0.159, 0.659, 0.500)
Hf (0.659, 0.841, 0.500)

Values from the calculation:
Space group: P4/mbm
Volume: 90.2 Å³/f.u.
Energy relative to the lowest polymorph listed for this composition: 0 meV/atom
Total energy: -82.70 eV per cell
Size of the total moment: 0.000 μB per atom
E_form: -0.85 eV/atom



## PmPaOsPt (PBE)

Data for crystalline PmPaOsPt at its relaxed geometry.

Cell lengths 4.955, 4.955, 4.955 Å; angles 60.00, 60.00, 60.00 degrees
Sites, in units of the cell vectors:
Pm (0.500, 0.500, 0.500)
Pa (0.000, 0.000, 0.000)
Pt (0.750, 0.750, 0.750)
Os (0.250, 0.250, 0.250)

Values from the calculation:
Space group: F-43m
Volume: 86.0 Å³/f.u.
Total energy: -33.29 eV per cell
Size of the total moment: 0.002 μB per atom
E_form: -0.44 eV/atom



## TlAsBr2 (PBE)

Data for crystalline TlAsBr2 at its relaxed geometry.

Cell lengths 3.557, 3.557, 8.495 Å; angles 90.00, 90.00, 90.00 degrees
Sites, in units of the cell vectors:
Br (0.000, 0.000, 0.987)
Br (0.000, 0.000, 0.513)
As (0.500, 0.500, 0.750)
Tl (0.500, 0.500, 0.250)

Values from the calculation:
Space group: P4/mmm
E_form (uncorrected): 0.10 eV per atom
Volume: 107.5 Å³/f.u.
Energy relative to the lowest polymorph listed for this composition: 361 meV/atom
Total energy: -9.97 eV per cell
Size of the total moment: 0.000 μB per atom



## AcPmGaBr (PBE)

Data for crystalline AcPmGaBr at its relaxed geometry.

Cell lengths 5.462, 5.462, 5.462 Å; angles 60.00, 60.00, 60.00 degrees
Sites, in units of the cell vectors:
Ga (0.250, 0.250, 0.250)
Pm (0.000, 0.000, 0.000)
Br (0.750, 0.750, 0.750)
Ac (0.500, 0.500, 0.500)

Values from the calculation:
Space group: F-43m
E_form (uncorrected): -0.71 eV per atom
Volume: 115.2 Å³/f.u.
Total energy: -16.38 eV per cell
Size of the total moment: 0.000 μB per atom



## Sc2ZnIr (PBE)

Data for crystalline Sc2ZnIr at its relaxed geometry.

Cell lengths 9.261, 9.261, 9.261 Å; angles 19.29, 19.29, 19.29 degrees
Sites, in units of the cell vectors:
Sc (0.012, 0.012, 0.012)
Sc (0.243, 0.243, 0.243)
Ir (0.753, 0.753, 0.753)
Zn (0.492, 0.492, 0.492)

Values from the calculation:
Space group: R3m
Volume: 75.8 Å³/f.u.
Energy relative to the lowest polymorph listed for this composition: 577 meV/atom
Total energy: -23.38 eV per cell
Size of the total moment: 0.126 μB per atom
E_form: -0.15 eV/atom



## KFe3H (PBE)

Data for crystalline KFe3H at its relaxed geometry.

Cell lengths 4.057, 4.057, 4.057 Å; angles 90.00, 90.00, 90.00 degrees
Sites, in units of the cell vectors:
K (0.500, 0.500, 0.500)
Fe (0.000, 0.500, 0.000)
H (0.000, 0.000, 0.000)
Fe (0.500, 0.000, 0.000)
Fe (0.000, 0.000, 0.500)

Values from the calculation:
Space group: Pm-3m
Volume: 66.8 Å³/f.u.
Energy relative to the lowest polymorph listed for this composition: 0 meV/atom
Total energy: -24.50 eV per cell
Size of the total moment: 1.547 μB per atom



## AcHoAs2Rh2 (PBE)

Data for crystalline AcHoAs2Rh2 at its relaxed geometry.

Cell lengths 4.289, 4.289, 8.160 Å; angles 90.00, 90.00, 120.00 degrees
Sites, in units of the cell vectors:
As (0.333, 0.667, 0.275)
Rh (0.333, 0.667, 0.729)
Rh (0.667, 0.333, 0.271)
As (0.667, 0.333, 0.725)
Ho (0.000, 0.000, 0.500)
Ac (0.000, 0.000, 0.000)

Values from the calculation:
Space group: P-3m1
Volume: 130.0 Å³/f.u.
Total energy: -39.10 eV per cell
Size of the total moment: 0.000 μB per atom
E_form: -1.07 eV/atom



## K2BaAg2H6 (PBE)

Data for crystalline K2BaAg2H6 at its relaxed geometry.

Cell lengths 5.963, 5.961, 7.372 Å; angles 110.18, 90.00, 120.01 degrees
Sites, in units of the cell vectors:
H (0.315, 0.119, 0.826)
K (0.304, 0.608, 0.845)
Ag (0.041, 0.083, 0.238)
Ag (0.959, 0.917, 0.762)
H (0.779, 0.558, 0.598)
H (0.195, 0.881, 0.174)
H (0.221, 0.442, 0.402)
H (0.805, 0.119, 0.826)
H (0.685, 0.881, 0.174)
Ba (0.500, 0.000, 0.500)
K (0.696, 0.392, 0.155)

Values from the calculation:
Space group: C2/m
Volume: 208.2 Å³/f.u.
Total energy: -31.69 eV per cell
Size of the total moment: 0.000 μB per atom



## Ba3In2HgAu6 (PBE)

Data for crystalline Ba3In2HgAu6 at its relaxed geometry.

Cell lengths 6.749, 6.749, 8.980 Å; angles 90.00, 90.00, 120.00 degrees
Sites, in units of the cell vectors:
Ba (0.000, 0.000, 0.000)
Au (0.815, 0.631, 0.709)
Ba (0.667, 0.333, 0.367)
Au (0.369, 0.185, 0.709)
Au (0.185, 0.369, 0.291)
Au (0.631, 0.815, 0.291)
Ba (0.333, 0.667, 0.633)
In (0.333, 0.667, 0.040)
In (0.667, 0.333, 0.960)
Au (0.815, 0.185, 0.709)
Hg (0.000, 0.000, 0.500)
Au (0.185, 0.815, 0.291)

Values from the calculation:
Space group: P-3m1
Volume: 354.2 Å³/f.u.
Total energy: -36.72 eV per cell
Size of the total moment: 0.000 μB per atom
E_form: -0.46 eV/atom



## CsAl2Si2 (PBE)

Data for crystalline CsAl2Si2 at its relaxed geometry.

Cell lengths 3.995, 3.995, 8.805 Å; angles 76.89, 76.89, 90.00 degrees
Sites, in units of the cell vectors:
Cs (0.000, 0.000, 0.000)
Al (0.750, 0.250, 0.500)
Si (0.652, 0.652, 0.697)
Al (0.250, 0.750, 0.500)
Si (0.348, 0.348, 0.303)

Values from the calculation:
Space group: I4/mmm
E_form (uncorrected): 0.01 eV per atom
Volume: 133.1 Å³/f.u.
Energy relative to the lowest polymorph listed for this composition: 0 meV/atom
Total energy: -19.11 eV per cell
Size of the total moment: 0.000 μB per atom



## SrInGa (PBE)

Data for crystalline SrInGa at its relaxed geometry.

Cell lengths 12.482, 6.483, 4.261 Å; angles 90.00, 90.00, 90.00 degrees
Sites, in units of the cell vectors:
Sr (0.316, 0.750, 0.000)
Ga (0.000, 0.000, 0.000)
Sr (0.184, 0.250, 0.500)
In (0.099, 0.750, 0.500)
In (0.599, 0.750, 0.000)
Ga (0.000, 0.500, 0.000)
In (0.401, 0.250, 0.000)
Sr (0.816, 0.750, 0.500)
Sr (0.684, 0.250, 0.000)
In (0.901, 0.250, 0.500)
Ga (0.500, 0.000, 0.500)
Ga (0.500, 0.500, 0.500)

Values from the calculation:
Space group: Cmcm
Volume: 86.2 Å³/f.u.
Total energy: -33.71 eV per cell
Size of the total moment: 0.000 μB per atom
E_form: -0.33 eV/atom



## Ac5TbIn4 (PBE)

Data for crystalline Ac5TbIn4 at its relaxed geometry.

Cell lengths 4.055, 4.055, 21.662 Å; angles 90.00, 90.00, 90.00 degrees
Sites, in units of the cell vectors:
In (0.000, 0.000, 0.207)
Ac (0.500, 0.500, 0.112)
Ac (0.500, 0.500, 0.695)
In (0.000, 0.000, 0.402)
Ac (0.500, 0.500, 0.888)
Ac (0.500, 0.500, 0.305)
In (0.000, 0.000, 0.793)
Ac (0.500, 0.500, 0.500)
In (0.000, 0.000, 0.598)
Tb (0.000, 0.000, 0.000)

Values from the calculation:
Space group: P4/mmm
Volume: 356.2 Å³/f.u.
Total energy: -39.21 eV per cell
Size of the total moment: 0.000 μB per atom
E_form: -0.31 eV/atom



## Na2Tl2PdO6 (PBE)

Data for crystalline Na2Tl2PdO6 at its relaxed geometry.

Cell lengths 5.740, 5.740, 5.855 Å; angles 98.60, 98.60, 118.94 degrees
Sites, in units of the cell vectors:
O (0.769, 0.769, 0.701)
O (0.053, 0.355, 0.702)
Tl (0.336, 0.664, 0.500)
O (0.947, 0.645, 0.298)
O (0.645, 0.947, 0.298)
Na (0.844, 0.156, 0.000)
O (0.355, 0.053, 0.702)
Na (0.156, 0.844, 0.000)
O (0.231, 0.231, 0.299)
Tl (0.664, 0.336, 0.500)
Pd (0.000, 0.000, 0.500)

Values from the calculation:
Space group: C2/m
E_form (uncorrected): -0.90 eV per atom
Volume: 161.4 Å³/f.u.
Total energy: -52.17 eV per cell
Size of the total moment: 0.000 μB per atom



## Eu2SiSn (PBE)

Data for crystalline Eu2SiSn at its relaxed geometry.

Cell lengths 3.656, 3.656, 11.047 Å; angles 80.47, 80.47, 60.00 degrees
Sites, in units of the cell vectors:
Si (0.500, 0.500, 0.500)
Eu (0.101, 0.101, 0.696)
Sn (0.000, 0.000, 0.000)
Eu (0.899, 0.899, 0.304)

Values from the calculation:
Space group: R-3m
E_form (uncorrected): -0.03 eV per atom
Volume: 125.5 Å³/f.u.
Energy relative to the lowest polymorph listed for this composition: 463 meV/atom
Total energy: -30.09 eV per cell
Size of the total moment: 3.656 μB per atom



## CeMg14Mn (PBE)

Data for crystalline CeMg14Mn at its relaxed geometry.

Cell lengths 6.526, 6.526, 10.361 Å; angles 90.00, 90.00, 123.57 degrees
Sites, in units of the cell vectors:
Mg (0.673, 0.830, 0.751)
Mg (0.333, 0.667, 0.000)
Mg (0.167, 0.833, 0.762)
Mg (0.314, 0.177, 0.500)
Mg (0.170, 0.327, 0.249)
Mg (0.830, 0.170, 0.000)
Mn (0.840, 0.160, 0.500)
Mg (0.170, 0.327, 0.751)
Mg (0.336, 0.173, 0.000)
Mg (0.680, 0.320, 0.272)
Mg (0.673, 0.830, 0.249)
Mg (0.680, 0.320, 0.728)
Mg (0.827, 0.664, 0.000)
Mg (0.167, 0.833, 0.238)
Ce (0.318, 0.682, 0.500)
Mg (0.823, 0.686, 0.500)

Values from the calculation:
Space group: Amm2
Volume: 367.6 Å³/f.u.
Energy relative to the lowest polymorph listed for this composition: 0 meV/atom
Total energy: -36.17 eV per cell
Size of the total moment: 0.129 μB per atom
E_form: 0.08 eV/atom



## Sm8Co2Cu (PBE)

Data for crystalline Sm8Co2Cu at its relaxed geometry.

Cell lengths 6.305, 7.343, 7.343 Å; angles 110.08, 99.79, 99.79 degrees
Sites, in units of the cell vectors:
Sm (0.356, 0.651, 0.932)
Cu (0.186, 0.011, 0.011)
Sm (0.599, 0.074, 0.346)
Sm (0.973, 0.783, 0.208)
Sm (0.356, 0.932, 0.651)
Sm (0.782, 0.644, 0.644)
Sm (0.599, 0.346, 0.074)
Sm (0.973, 0.208, 0.783)
Co (0.492, 0.691, 0.320)
Sm (0.191, 0.372, 0.372)
Co (0.492, 0.320, 0.691)

Values from the calculation:
Space group: Cm
Volume: 304.9 Å³/f.u.
Total energy: -55.81 eV per cell
Size of the total moment: 0.000 μB per atom
E_form: 0.02 eV/atom



## Pm5ThGe5 (PBE)

Data for crystalline Pm5ThGe5 at its relaxed geometry.

Cell lengths 6.018, 7.435, 8.381 Å; angles 106.20, 90.00, 113.88 degrees
Sites, in units of the cell vectors:
Ge (0.500, 0.000, 0.000)
Ge (0.162, 0.324, 0.826)
Ge (0.835, 0.670, 0.664)
Ge (0.165, 0.330, 0.336)
Pm (0.000, 0.000, 0.500)
Ge (0.838, 0.676, 0.174)
Pm (0.670, 0.339, 0.332)
Pm (0.671, 0.343, 0.841)
Th (0.000, 0.000, 0.000)
Pm (0.330, 0.661, 0.668)
Pm (0.329, 0.657, 0.159)

Values from the calculation:
Space group: C2/m
Volume: 326.6 Å³/f.u.
Total energy: -61.44 eV per cell
Size of the total moment: 0.050 μB per atom
E_form: -0.65 eV/atom